Below is KSi4P after structural relaxation, with properties calculated at the GGA-PBEsol level.

The structure in POSCAR format:
```
KSi4P
1.0
5.264 0.000 0.000
2.632 4.559 0.000
2.632 1.520 4.298
K P Si
1 1 4
direct
0.750 0.750 0.750 K
0.000 0.000 0.000 P
0.374 0.374 0.374 Si
0.374 0.374 0.877 Si
0.877 0.374 0.374 Si
0.374 0.877 0.374 Si
```

Output
- DOS(E_F): 0.70 states/eV per atom
- Formation energy (no corrections): 0.5036 eV per atom
- Magnetization: 0.000 μB/atom


Below is KSrP2 after structural relaxation, with properties calculated at the GGA-PBEsol level.

The structure in POSCAR format:
```
KSrP2
1.0
3.504 -0.033 0.000
-0.153 3.500 0.000
0.000 0.000 9.085
K P Sr
1 2 1
direct
0.500 0.500 0.169 K
0.000 0.000 0.904 P
0.500 0.500 0.833 P
0.000 0.000 0.594 Sr
```

Output
- Energy of formation: -0.1613 eV per atom
- DOS(E_F): 0.41 states/eV per atom
- Magnetization: 0.000 μB/atom